No. 1
Below is a geometry-optimized Tl2RhW structure, with properties calculated at the PBE level.

Structure (extended XYZ):
```
4
Lattice="9.989 -1.530 -0.011 9.989 1.530 -0.011 9.757 0.000 2.628" Properties=species:S:1:pos:R:3 pbc="T T T"
Rh 7.202 0.000 0.631
Tl 22.518 0.000 1.974
Tl 29.457 0.000 2.582
W 15.160 0.000 1.329
```

Summary:
* total energy: -5.799 eV/atom

No. 2
Below is a geometry-optimized Tl2RhW structure, with properties calculated at the PBE level.

Structure (extended XYZ):
```
4
Lattice="0.000 3.397 3.397 3.397 0.000 3.397 3.397 3.397 0.000" Properties=species:S:1:pos:R:3 pbc="T T T"
Tl 5.096 5.096 5.096
Tl 0.000 0.000 0.000
W 1.699 1.699 1.699
Rh 3.397 3.397 3.397
```

Summary:
* total energy: -5.294 eV/atom

No. 3
Below is a geometry-optimized Tl2RhW structure, with properties calculated at the PBE level.

Structure (extended XYZ):
```
4
Lattice="1.516 4.647 -0.017 -1.516 4.647 -0.017 0.000 1.051 5.408" Properties=species:S:1:pos:R:3 pbc="T T T"
W 0.000 0.525 2.704
Rh 0.000 4.647 -0.017
Tl 0.000 7.261 1.301
Tl 0.000 3.083 4.073
```

Summary:
* total energy: -5.498 eV/atom

No. 4
Below is a geometry-optimized Tl4RhW structure, with properties calculated at the PBE level.

Structure (extended XYZ):
```
6
Lattice="0.000 4.245 4.245 4.245 0.000 4.245 4.245 4.245 0.000" Properties=species:S:1:pos:R:3 pbc="T T T"
Tl 3.181 5.309 5.309
Tl 5.309 5.309 3.181
Tl 3.181 3.181 3.181
Tl 5.309 3.181 5.309
W 6.368 6.368 6.368
Rh 0.000 0.000 0.000
```

Summary:
* total energy: -3.553 eV/atom

No. 5
Below is a geometry-optimized Tl2RhW structure, with properties calculated at the PBE level.

Structure (extended XYZ):
```
4
Lattice="-1.382 -2.191 3.867 2.643 -1.400 0.152 2.239 4.019 3.077" Properties=species:S:1:pos:R:3 pbc="T T T"
Tl 2.642 -0.079 0.900
Tl 2.240 2.698 2.329
W 0.631 -1.795 2.010
Rh 0.428 0.914 3.472
```

Summary:
* total energy: -5.473 eV/atom

No. 6
Below is a geometry-optimized TlRhW structure, with properties calculated at the PBE level.

Structure (extended XYZ):
```
3
Lattice="-1.477 1.477 6.067 1.477 -1.477 6.067 1.477 1.477 -6.067" Properties=species:S:1:pos:R:3 pbc="T T T"
Tl 0.000 0.000 4.070
Rh 0.000 0.000 0.182
W 0.000 0.000 7.882
```

Summary:
* total energy: -7.199 eV/atom